DFT (GGA+U) results for crystalline NaCoRu2O8 at its relaxed geometry.

Cell and atoms, written as CIF:
```
data_NaCoRu2O8
_cell_length_a 5.981
_cell_length_b 5.981
_cell_length_c 5.981
_cell_angle_alpha 108.54
_cell_angle_beta 108.54
_cell_angle_gamma 111.35
_space_group_name_H-M_alt 'P 1'
_space_group_IT_number 1
_space_group_name_Hall 'P 1'
loop_
_atom_site_label
_atom_site_type_symbol
_atom_site_fract_x
_atom_site_fract_y
_atom_site_fract_z
_atom_site_occupancy
Na1 Na 0.000 0.000 0.000 1
Co1 Co 0.250 0.750 0.500 1
Ru1 Ru 0.500 0.500 0.000 1
Ru2 Ru 0.750 0.250 0.500 1
O1 O 0.341 0.134 0.793 1
O2 O 0.341 0.548 0.207 1
O3 O 0.393 0.088 0.305 1
O4 O 0.452 0.659 0.793 1
O5 O 0.783 0.088 0.695 1
O6 O 0.866 0.659 0.207 1
O7 O 0.912 0.217 0.305 1
O8 O 0.912 0.607 0.695 1
```

Crystal system: tetragonal
VASP energy in eV for the cell shown: -74.13